{
  "formula": "Dy5Tl4Ir",
  "functional": "PBE-GGA",
  "state": "optimized geometry",
  "lattice_angstrom": [[3.5268, 0.0000, 0.0000], [0.0000, 3.5268, 0.0000], [0.0000, 0.0000, 20.7774]],
  "species": ["Dy", "Dy", "Dy", "Dy", "Dy", "Tl", "Tl", "Tl", "Tl", "Ir"],
  "fractional_positions": [[0.0000, 0.0000, 0.0000], [0.0000, 0.0000, 0.2084], [0.0000, 0.0000, 0.4212], [0.0000, 0.0000, 0.5788], [0.0000, 0.0000, 0.7916], [0.5000, 0.5000, 0.1039], [0.5000, 0.5000, 0.3111], [0.5000, 0.5000, 0.6889], [0.5000, 0.5000, 0.8961], [0.5000, 0.5000, 0.5000]],
  "formation_enthalpy_0k_ev_per_atom": -0.455
}


{
  "formula": "ReSe2SBr",
  "functional": "PBE-GGA",
  "state": "optimized geometry",
  "lattice_angstrom": [[4.9350, 0.0000, 0.0000], [0.0000, 4.9350, 0.0000], [0.0000, 0.0000, 4.9279]],
  "species": ["Re", "Se", "Se", "S", "Br"],
  "fractional_positions": [[0.0000, 0.0000, 0.0000], [0.0000, 0.5000, 0.5000], [0.5000, 0.0000, 0.5000], [0.5000, 0.5000, 0.5000], [0.5000, 0.5000, 0.0000]],
  "raw_formation_energy_ev_per_atom": 1.41,
  "de_polymorph_mev_per_atom": 685
}


{
  "formula": "Rb2TaCrI",
  "functional": "PBE-GGA",
  "state": "optimized geometry",
  "lattice_angstrom": [[7.0009, 0.0000, 0.0000], [0.0000, 7.0009, 0.0000], [0.0000, 0.0000, 5.4118]],
  "species": ["Rb", "Rb", "Ta", "Cr", "I"],
  "fractional_positions": [[0.0000, 0.5000, 0.0000], [0.5000, 0.0000, 0.0000], [0.0000, 0.0000, 0.5000], [0.5000, 0.5000, 0.5000], [0.0000, 0.0000, 0.0000]],
  "raw_formation_energy_ev_per_atom": 1.33
}


{
  "formula": "MoOs3Br",
  "functional": "PBE-GGA",
  "state": "optimized geometry",
  "lattice_angstrom": [[4.5166, 0.0000, 0.0000], [0.0000, 4.5166, 0.0000], [0.0000, 0.0000, 4.5166]],
  "species": ["Mo", "Os", "Os", "Os", "Br"],
  "fractional_positions": [[0.0000, 0.0000, 0.0000], [0.0000, 0.5000, 0.5000], [0.5000, 0.0000, 0.5000], [0.5000, 0.5000, 0.0000], [0.5000, 0.5000, 0.5000]],
  "raw_formation_energy_ev_per_atom": 2.53,
  "de_polymorph_mev_per_atom": 24
}


{
  "formula": "BaCo2Te",
  "functional": "PBE-GGA",
  "state": "optimized geometry",
  "lattice_angstrom": [[7.3180, 0.0000, 0.0000], [0.0000, 7.3180, 0.0000], [0.0000, 0.0000, 7.3180]],
  "species": ["Ba", "Ba", "Ba", "Ba", "Co", "Co", "Co", "Co", "Co", "Co", "Co", "Co", "Te", "Te", "Te", "Te"],
  "fractional_positions": [[0.0000, 0.0000, 0.0000], [0.0000, 0.5000, 0.5000], [0.5000, 0.0000, 0.5000], [0.5000, 0.5000, 0.0000], [0.0000, 0.0000, 0.5000], [0.0000, 0.5000, 0.0000], [0.2500, 0.2500, 0.2500], [0.2500, 0.7500, 0.7500], [0.5000, 0.0000, 0.0000], [0.5000, 0.5000, 0.5000], [0.7500, 0.2500, 0.7500], [0.7500, 0.7500, 0.2500], [0.2500, 0.2500, 0.7500], [0.2500, 0.7500, 0.2500], [0.7500, 0.2500, 0.2500], [0.7500, 0.7500, 0.7500]],
  "raw_formation_energy_ev_per_atom": 0.66
}


{
  "formula": "Tc2RuPt",
  "functional": "PBE-GGA",
  "state": "optimized geometry",
  "lattice_angstrom": [[5.5854, 0.0000, 0.0000], [0.0000, 5.5854, 0.0000], [0.0000, 0.0000, 11.0840]],
  "species": ["Tc", "Tc", "Tc", "Tc", "Tc", "Tc", "Tc", "Tc", "Ru", "Ru", "Ru", "Ru", "Pt", "Pt", "Pt", "Pt"],
  "fractional_positions": [[0.2393, 0.2500, 0.1250], [0.2500, 0.7393, 0.3750], [0.2500, 0.7607, 0.8750], [0.2607, 0.2500, 0.6250], [0.7393, 0.7500, 0.6250], [0.7500, 0.2393, 0.8750], [0.7500, 0.2607, 0.3750], [0.7607, 0.7500, 0.1250], [0.0000, 0.0000, 0.0000], [0.0000, 0.5000, 0.2500], [0.5000, 0.0000, 0.7500], [0.5000, 0.5000, 0.5000], [0.0000, 0.0000, 0.5000], [0.0000, 0.5000, 0.7500], [0.5000, 0.0000, 0.2500], [0.5000, 0.5000, 0.0000]],
  "de_polymorph_mev_per_atom": 1255,
  "formation_enthalpy_0k_ev_per_atom": 1.102
}


{
  "formula": "KCa2Cd",
  "functional": "PBE-GGA",
  "state": "optimized geometry",
  "lattice_angstrom": [[8.5244, 0.0000, 0.0000], [0.0000, 8.5244, 0.0000], [0.0000, 0.0000, 8.5244]],
  "species": ["K", "K", "K", "K", "Ca", "Ca", "Ca", "Ca", "Ca", "Ca", "Ca", "Ca", "Cd", "Cd", "Cd", "Cd"],
  "fractional_positions": [[0.0000, 0.0000, 0.0000], [0.0000, 0.5000, 0.5000], [0.5000, 0.0000, 0.5000], [0.5000, 0.5000, 0.0000], [0.0000, 0.0000, 0.5000], [0.0000, 0.5000, 0.0000], [0.2500, 0.2500, 0.2500], [0.2500, 0.7500, 0.7500], [0.5000, 0.0000, 0.0000], [0.5000, 0.5000, 0.5000], [0.7500, 0.2500, 0.7500], [0.7500, 0.7500, 0.2500], [0.2500, 0.2500, 0.7500], [0.2500, 0.7500, 0.2500], [0.7500, 0.2500, 0.2500], [0.7500, 0.7500, 0.7500]],
  "formation_enthalpy_0k_ev_per_atom": 0.121
}


{
  "formula": "DyHo2Er2",
  "functional": "PBE-GGA",
  "state": "optimized geometry",
  "lattice_angstrom": [[9.2131, 0.0000, 0.0000], [0.0000, 9.2131, 0.0000], [0.0000, 0.0000, 3.6689]],
  "species": ["Dy", "Dy", "Ho", "Ho", "Ho", "Ho", "Er", "Er", "Er", "Er"],
  "fractional_positions": [[0.0000, 0.0000, 0.0000], [0.5000, 0.5000, 0.0000], [0.1266, 0.3734, 0.0000], [0.3734, 0.8734, 0.0000], [0.6266, 0.1266, 0.0000], [0.8734, 0.6266, 0.0000], [0.1714, 0.6714, 0.5000], [0.3286, 0.1714, 0.5000], [0.6714, 0.8286, 0.5000], [0.8286, 0.3286, 0.5000]],
  "de_polymorph_mev_per_atom": 0,
  "formation_enthalpy_0k_ev_per_atom": 0.091
}


Calculated volume readings, ordered: 25.84 24.00 53.05 18.43 24.49 21.61 38.71 31.14 Å³ per atom
Uncorrected energy readings, ordered: -4.59 -3.64 -3.66 -6.71 -4.16 -7.91 -1.38 -4.49 eV/atom